No. 1
Computed, not measured: a geometry-optimized SrCaNdDy structure at the PBE level of DFT.

Summary:
Symmetry: F-43m (216)
E, eV per atom: -3.086
ρ, g cm⁻³: 4.7
Energy relative to the elements, eV/atom: 0.18
M_tot, μB/f.u.: 0.00

a = 8.522 Å, b = 8.522 Å, c = 8.522 Å
α = 90.00°, β = 90.00°, γ = 90.00°
Element x y z (fractional)
Sr (0.000, 0.000, 0.000)
Sr (0.000, 0.500, 0.500)
Sr (0.500, 0.000, 0.500)
Sr (0.500, 0.500, 0.000)
Ca (0.250, 0.250, 0.250)
Ca (0.250, 0.750, 0.750)
Ca (0.750, 0.250, 0.750)
Ca (0.750, 0.750, 0.250)
Nd (0.000, 0.000, 0.500)
Nd (0.000, 0.500, 0.000)
Nd (0.500, 0.000, 0.000)
Nd (0.500, 0.500, 0.500)
Dy (0.250, 0.250, 0.750)
Dy (0.250, 0.750, 0.250)
Dy (0.750, 0.250, 0.250)
Dy (0.750, 0.750, 0.750)

No. 2
Computed, not measured: a geometry-optimized Ca2PmAl4 structure at the PBE level of DFT.

Summary:
Symmetry: Immm (71)
E, eV per atom: -3.723
ρ, g cm⁻³: 3.2
Energy relative to the elements, eV/atom: -0.33
M_tot, μB/f.u.: 0.00

a = 3.763 Å, b = 4.572 Å, c = 20.202 Å
α = 90.00°, β = 90.00°, γ = 90.00°
Element x y z (fractional)
Ca (0.000, 0.000, 0.193)
Ca (0.000, 0.000, 0.807)
Ca (0.500, 0.500, 0.307)
Ca (0.500, 0.500, 0.693)
Pm (0.000, 0.500, 0.000)
Pm (0.500, 0.000, 0.500)
Al (0.000, 0.000, 0.364)
Al (0.000, 0.000, 0.636)
Al (0.000, 0.500, 0.435)
Al (0.000, 0.500, 0.565)
Al (0.500, 0.000, 0.065)
Al (0.500, 0.000, 0.935)
Al (0.500, 0.500, 0.136)
Al (0.500, 0.500, 0.864)